Below is crystalline VOF at its relaxed geometry, with properties calculated at the PBE+U level.

a = 7.850 Å, b = 7.850 Å, c = 4.682 Å
α = 90.18°, β = 90.18°, γ = 105.92°
Atoms (fractional coordinates):
V  0.000  0.000  0.000
V  0.106  0.373  0.448
V  0.255  0.754  0.915
V  0.373  0.106  0.448
V  0.484  0.484  0.893
V  0.623  0.858  0.448
V  0.754  0.255  0.915
V  0.858  0.623  0.448
O  0.224  0.965  0.140
O  0.264  0.524  0.735
O  0.410  0.894  0.632
O  0.524  0.264  0.735
O  0.644  0.644  0.650
O  0.833  0.833  0.237
O  0.894  0.410  0.632
O  0.965  0.224  0.140
F  0.024  0.784  0.731
F  0.087  0.600  0.228
F  0.142  0.142  0.645
F  0.340  0.340  0.245
F  0.464  0.707  0.143
F  0.600  0.087  0.228
F  0.707  0.464  0.143
F  0.784  0.024  0.731

Output
Its volume is 34.7 Å³/f.u. The total energy is -7.1689 eV per atom. The magnetization is 2.00 μB/f.u. As for the space group: Cm (8).